[1]
# Li2Mn3F8 PBEsol relaxed
# - Excess energy over the best structure of this formula in the dataset: 34.9 meV per atom
# - DFT total energy: -160.03 eV per cell
# - Energy relative to the elements, uncorrected: -2.414 eV/atom
# - Calculated density: 3455 kg/m3
# - DOS at the Fermi energy: 0.00 states/eV per atom
# - Magnetization: 15.00 μB per formula unit
data_Li2Mn3F8
_chemical_formula_sum 'Li4 Mn6 F16'
_space_group_name_H-M_alt 'P 1'
_space_group_IT_number 1
_cell_length_a 5.324
_cell_length_b 9.265
_cell_length_c 6.444
_cell_angle_alpha 90.00
_cell_angle_beta 90.00
_cell_angle_gamma 90.00
loop_
_space_group_symop_operation_xyz
'x,y,z'
loop_
_atom_site_label
_atom_site_type_symbol
_atom_site_fract_x
_atom_site_fract_y
_atom_site_fract_z
_atom_site_occupancy
Li1 Li 0.018 0.182 0.000 1
Li2 Li 0.482 0.682 0.500 1
Li3 Li 0.518 0.318 0.500 1
Li4 Li 0.982 0.818 0.000 1
Mn1 Mn 0.000 0.000 0.500 1
Mn2 Mn 0.000 0.500 0.265 1
Mn3 Mn 0.000 0.500 0.735 1
Mn4 Mn 0.500 0.000 0.235 1
Mn5 Mn 0.500 0.000 0.765 1
Mn6 Mn 0.500 0.500 0.000 1
F1 F 0.148 0.380 0.000 1
F2 F 0.168 0.116 0.258 1
F3 F 0.168 0.116 0.742 1
F4 F 0.181 0.387 0.500 1
F5 F 0.319 0.887 0.000 1
F6 F 0.332 0.616 0.242 1
F7 F 0.332 0.616 0.758 1
F8 F 0.352 0.880 0.500 1
F9 F 0.648 0.120 0.500 1
F10 F 0.668 0.384 0.242 1
F11 F 0.668 0.384 0.758 1
F12 F 0.681 0.113 0.000 1
F13 F 0.819 0.613 0.500 1
F14 F 0.832 0.884 0.258 1
F15 F 0.832 0.884 0.742 1
F16 F 0.852 0.620 0.000 1


[2]
# Fe2CuICl PBEsol relaxed
# - DFT total energy: -21.33 eV per cell
# - Energy relative to the elements, uncorrected: 0.942 eV/atom
# - Calculated density: 5753 kg/m3
# - DOS at the Fermi energy: 1.71 states/eV per atom
# - Magnetization: 6.44 μB per formula unit
data_Fe2CuICl
_chemical_formula_sum 'Fe2 Cu1 I1 Cl1'
_space_group_name_H-M_alt 'P 1'
_space_group_IT_number 1
_cell_length_a 4.757
_cell_length_b 4.757
_cell_length_c 4.306
_cell_angle_alpha 90.00
_cell_angle_beta 90.00
_cell_angle_gamma 90.00
loop_
_space_group_symop_operation_xyz
'x,y,z'
loop_
_atom_site_label
_atom_site_type_symbol
_atom_site_fract_x
_atom_site_fract_y
_atom_site_fract_z
_atom_site_occupancy
Fe1 Fe 0.000 0.500 0.000 1
Fe2 Fe 0.500 0.000 0.000 1
Cu1 Cu 0.000 0.000 0.000 1
I1 I 0.500 0.500 0.500 1
Cl1 Cl 0.000 0.000 0.500 1


[3]
# KSc2Au PBEsol relaxed
# - Excess energy over the best structure of this formula in the dataset: 0.0 meV per atom
# - Energy relative to the elements: -0.09 eV/atom
# - DFT total energy: -18.61 eV per cell
# - Calculated density: 4945 kg/m3
# - DOS at the Fermi energy: 0.84 states/eV per atom
# - Magnetization: 1.47 μB per formula unit
data_KSc2Au
_chemical_formula_sum 'K1 Sc2 Au1'
_space_group_name_H-M_alt 'P 1'
_space_group_IT_number 1
_cell_length_a 3.432
_cell_length_b 3.432
_cell_length_c 9.294
_cell_angle_alpha 90.00
_cell_angle_beta 90.06
_cell_angle_gamma 90.00
loop_
_space_group_symop_operation_xyz
'x,y,z'
loop_
_atom_site_label
_atom_site_type_symbol
_atom_site_fract_x
_atom_site_fract_y
_atom_site_fract_z
_atom_site_occupancy
K1 K 0.000 0.000 0.000 1
Sc1 Sc 0.498 0.500 0.368 1
Sc2 Sc 0.999 0.000 0.592 1
Au1 Au 0.499 0.500 0.732 1


[4]
# Be2CrAg PBEsol relaxed
# - Excess energy over the best structure of this formula in the dataset: 0.0 meV per atom
# - Energy relative to the elements: 0.35 eV/atom
# - DFT total energy: -20.14 eV per cell
# - Calculated density: 6402 kg/m3
# - DOS at the Fermi energy: 0.74 states/eV per atom
# - Magnetization: 2.69 μB per formula unit
data_Be2CrAg
_chemical_formula_sum 'Be2 Cr1 Ag1'
_space_group_name_H-M_alt 'P 1'
_space_group_IT_number 1
_cell_length_a 4.784
_cell_length_b 4.784
_cell_length_c 4.784
_cell_angle_alpha 145.71
_cell_angle_beta 130.95
_cell_angle_gamma 61.21
loop_
_space_group_symop_operation_xyz
'x,y,z'
loop_
_atom_site_label
_atom_site_type_symbol
_atom_site_fract_x
_atom_site_fract_y
_atom_site_fract_z
_atom_site_occupancy
Be1 Be 0.000 0.000 0.000 1
Be2 Be 0.790 0.290 0.500 1
Cr1 Cr 0.263 0.763 0.500 1
Ag1 Ag 0.539 0.539 0.000 1


[5]
# SrLi2P2 PBEsol relaxed
# - Energy relative to the elements: -0.85 eV/atom
# - DFT total energy: -21.62 eV per cell
# - Calculated density: 3023 kg/m3
# - DOS at the Fermi energy: 0.06 states/eV per atom
# - Magnetization: 0.00 μB per formula unit
data_SrLi2P2
_chemical_formula_sum 'Sr1 Li2 P2'
_space_group_name_H-M_alt 'P 1'
_space_group_IT_number 1
_cell_length_a 5.910
_cell_length_b 5.910
_cell_length_c 5.910
_cell_angle_alpha 138.47
_cell_angle_beta 138.47
_cell_angle_gamma 60.18
loop_
_space_group_symop_operation_xyz
'x,y,z'
loop_
_atom_site_label
_atom_site_type_symbol
_atom_site_fract_x
_atom_site_fract_y
_atom_site_fract_z
_atom_site_occupancy
Sr1 Sr 0.000 0.000 0.000 1
Li1 Li 0.250 0.750 0.500 1
Li2 Li 0.750 0.250 0.500 1
P1 P 0.389 0.389 0.000 1
P2 P 0.611 0.611 0.000 1


[6]
# TlFeAs2 PBEsol relaxed
# - Excess energy over the best structure of this formula in the dataset: 572.6 meV per atom
# - Energy relative to the elements: 0.58 eV/atom
# - DFT total energy: -19.48 eV per cell
# - Calculated density: 9140 kg/m3
# - DOS at the Fermi energy: 1.06 states/eV per atom
# - Magnetization: 2.64 μB per formula unit
data_TlFeAs2
_chemical_formula_sum 'Tl1 Fe1 As2'
_space_group_name_H-M_alt 'P 1'
_space_group_IT_number 1
_cell_length_a 3.564
_cell_length_b 4.248
_cell_length_c 4.921
_cell_angle_alpha 90.00
_cell_angle_beta 90.00
_cell_angle_gamma 90.00
loop_
_space_group_symop_operation_xyz
'x,y,z'
loop_
_atom_site_label
_atom_site_type_symbol
_atom_site_fract_x
_atom_site_fract_y
_atom_site_fract_z
_atom_site_occupancy
Tl1 Tl 0.000 0.000 0.000 1
Fe1 Fe 0.500 0.500 0.000 1
As1 As 0.000 0.500 0.500 1
As2 As 0.500 0.000 0.500 1


[7]
# TaHg2Rh PBEsol relaxed
# - Excess energy over the best structure of this formula in the dataset: 0.0 meV per atom
# - Energy relative to the elements: 0.23 eV/atom
# - DFT total energy: -20.92 eV per cell
# - Calculated density: 16018 kg/m3
# - DOS at the Fermi energy: 0.72 states/eV per atom
# - Magnetization: 0.00 μB per formula unit
data_TaHg2Rh
_chemical_formula_sum 'Ta1 Hg2 Rh1'
_space_group_name_H-M_alt 'P 1'
_space_group_IT_number 1
_cell_length_a 5.709
_cell_length_b 5.709
_cell_length_c 5.709
_cell_angle_alpha 150.64
_cell_angle_beta 128.33
_cell_angle_gamma 60.55
loop_
_space_group_symop_operation_xyz
'x,y,z'
loop_
_atom_site_label
_atom_site_type_symbol
_atom_site_fract_x
_atom_site_fract_y
_atom_site_fract_z
_atom_site_occupancy
Ta1 Ta 0.000 0.000 0.000 1
Hg1 Hg 0.260 0.760 0.500 1
Hg2 Hg 0.740 0.240 0.500 1
Rh1 Rh 0.500 0.500 0.000 1


[8]
# LaScZn PBEsol relaxed
# - Excess energy over the best structure of this formula in the dataset: 518.1 meV per atom
# - Energy relative to the elements: 0.35 eV/atom
# - DFT total energy: -12.47 eV per cell
# - Calculated density: 5477 kg/m3
# - DOS at the Fermi energy: 0.44 states/eV per atom
# - Magnetization: 0.00 μB per formula unit
data_LaScZn
_chemical_formula_sum 'La1 Sc1 Zn1'
_space_group_name_H-M_alt 'P 1'
_space_group_IT_number 1
_cell_length_a 4.746
_cell_length_b 4.746
_cell_length_c 4.746
_cell_angle_alpha 60.00
_cell_angle_beta 60.00
_cell_angle_gamma 60.00
loop_
_space_group_symop_operation_xyz
'x,y,z'
loop_
_atom_site_label
_atom_site_type_symbol
_atom_site_fract_x
_atom_site_fract_y
_atom_site_fract_z
_atom_site_occupancy
La1 La 0.000 0.000 0.000 1
Sc1 Sc 0.750 0.750 0.750 1
Zn1 Zn 0.500 0.500 0.500 1


[9]
# ZrCdRh PBEsol relaxed
# - Energy relative to the elements: -0.45 eV/atom
# - DFT total energy: -19.77 eV per cell
# - Calculated density: 9404 kg/m3
# - DOS at the Fermi energy: 0.58 states/eV per atom
# - Magnetization: 0.00 μB per formula unit
data_ZrCdRh
_chemical_formula_sum 'Zr1 Cd1 Rh1'
_space_group_name_H-M_alt 'P 1'
_space_group_IT_number 1
_cell_length_a 5.187
_cell_length_b 5.187
_cell_length_c 5.187
_cell_angle_alpha 141.31
_cell_angle_beta 141.31
_cell_angle_gamma 55.87
loop_
_space_group_symop_operation_xyz
'x,y,z'
loop_
_atom_site_label
_atom_site_type_symbol
_atom_site_fract_x
_atom_site_fract_y
_atom_site_fract_z
_atom_site_occupancy
Zr1 Zr 0.000 0.000 0.000 1
Cd1 Cd 0.311 0.311 0.000 1
Rh1 Rh 0.635 0.635 0.000 1


[10]
# MgTcB2Os PBEsol relaxed
# - Energy relative to the elements: 1.10 eV/atom
# - DFT total energy: -33.72 eV per cell
# - Calculated density: 7019 kg/m3
# - DOS at the Fermi energy: 0.65 states/eV per atom
# - Magnetization: 0.00 μB per formula unit
data_MgTcB2Os
_chemical_formula_sum 'Mg1 Tc1 B2 Os1'
_space_group_name_H-M_alt 'P 1'
_space_group_IT_number 1
_cell_length_a 4.048
_cell_length_b 4.048
_cell_length_c 4.825
_cell_angle_alpha 90.00
_cell_angle_beta 90.00
_cell_angle_gamma 90.00
loop_
_space_group_symop_operation_xyz
'x,y,z'
loop_
_atom_site_label
_atom_site_type_symbol
_atom_site_fract_x
_atom_site_fract_y
_atom_site_fract_z
_atom_site_occupancy
Mg1 Mg 0.000 0.000 0.000 1
Tc1 Tc 0.500 0.500 0.000 1
B1 B 0.000 0.500 0.500 1
B2 B 0.500 0.000 0.500 1
Os1 Os 0.500 0.500 0.500 1


[11]
# Mg2ScCu PBEsol relaxed
# - Energy relative to the elements: -0.06 eV/atom
# - DFT total energy: -14.60 eV per cell
# - Calculated density: 3607 kg/m3
# - DOS at the Fermi energy: 0.66 states/eV per atom
# - Magnetization: 0.00 μB per formula unit
data_Mg2ScCu
_chemical_formula_sum 'Mg2 Sc1 Cu1'
_space_group_name_H-M_alt 'P 1'
_space_group_IT_number 1
_cell_length_a 4.673
_cell_length_b 4.673
_cell_length_c 4.673
_cell_angle_alpha 119.84
_cell_angle_beta 119.84
_cell_angle_gamma 90.29
loop_
_space_group_symop_operation_xyz
'x,y,z'
loop_
_atom_site_label
_atom_site_type_symbol
_atom_site_fract_x
_atom_site_fract_y
_atom_site_fract_z
_atom_site_occupancy
Mg1 Mg 0.000 0.000 0.000 1
Mg2 Mg 0.750 0.250 0.500 1
Sc1 Sc 0.500 0.500 0.000 1
Cu1 Cu 0.250 0.750 0.500 1


[12]
# PRhPb2 PBEsol relaxed
# - Energy relative to the elements: -0.14 eV/atom
# - DFT total energy: -22.47 eV per cell
# - Calculated density: 10860 kg/m3
# - DOS at the Fermi energy: 0.41 states/eV per atom
# - Magnetization: 0.00 μB per formula unit
data_PRhPb2
_chemical_formula_sum 'P1 Rh1 Pb2'
_space_group_name_H-M_alt 'P 1'
_space_group_IT_number 1
_cell_length_a 3.233
_cell_length_b 3.233
_cell_length_c 8.022
_cell_angle_alpha 90.00
_cell_angle_beta 90.00
_cell_angle_gamma 90.00
loop_
_space_group_symop_operation_xyz
'x,y,z'
loop_
_atom_site_label
_atom_site_type_symbol
_atom_site_fract_x
_atom_site_fract_y
_atom_site_fract_z
_atom_site_occupancy
P1 P 0.000 0.000 0.000 1
Rh1 Rh 0.500 0.500 0.896 1
Pb1 Pb 0.000 0.000 0.629 1
Pb2 Pb 0.500 0.500 0.265 1


[13]
# BaSb2TeI PBEsol relaxed
# - DFT total energy: -17.28 eV per cell
# - Energy relative to the elements, uncorrected: -0.145 eV/atom
# - Calculated density: 5423 kg/m3
# - DOS at the Fermi energy: 0.95 states/eV per atom
# - Magnetization: 0.00 μB per formula unit
data_BaSb2TeI
_chemical_formula_sum 'Ba1 Sb2 Te1 I1'
_space_group_name_H-M_alt 'P 1'
_space_group_IT_number 1
_cell_length_a 5.701
_cell_length_b 5.701
_cell_length_c 5.985
_cell_angle_alpha 90.00
_cell_angle_beta 90.00
_cell_angle_gamma 90.00
loop_
_space_group_symop_operation_xyz
'x,y,z'
loop_
_atom_site_label
_atom_site_type_symbol
_atom_site_fract_x
_atom_site_fract_y
_atom_site_fract_z
_atom_site_occupancy
Ba1 Ba 0.000 0.000 0.000 1
Sb1 Sb 0.000 0.500 0.500 1
Sb2 Sb 0.500 0.000 0.500 1
Te1 Te 0.500 0.500 0.500 1
I1 I 0.500 0.500 0.000 1